Entry 1:
VASP calculation (PBE-GGA) on a relaxed Li2IrOs crystal.

Cell and atoms, written as POSCAR:
```
Li2IrOs
1.0
-0.6134 -0.1394 2.4770
3.9421 -1.5417 0.8894
1.6942 4.7275 0.6855
Ir Li Os
1 2 1
Cartesian
2.9350 2.7051 2.1973
1.6931 4.7244 0.6851
0.8482 2.3669 0.3432
2.0879 0.3414 1.8546
```

Properties
Its energy relative to the lowest polymorph listed for this composition is 270.5 meV per atom. For the final energy, the calculation gives -0.4246 Ry per atom. The symmetry is No. 47. As for the density of states at the Fermi level: 3.4 states/eV/cell.

=====

Entry 2:
VASP calculation (PBE-GGA) on a relaxed LiIr2Os crystal.

Cell and atoms, written as POSCAR:
```
LiIr2Os
1.0
-0.2348 0.2912 -2.7590
-2.6769 -0.7509 0.1486
-1.8188 6.6532 0.8569
Ir Li Os
2 1 1
Cartesian
-0.0208 0.0761 0.0098
-0.8886 3.2505 0.4187
-1.9106 1.4334 -1.0910
-2.8200 4.7600 -0.6625
```

Properties
Its energy relative to the lowest polymorph listed for this composition is 32.5 meV per atom. For the final energy, the calculation gives -0.5665 Ry per atom. The symmetry is No. 123. As for the density of states at the Fermi level: 3.1 states/eV/cell.

=====

Entry 3:
VASP calculation (PBE-GGA) on a relaxed Li2IrOs crystal.

Cell and atoms, written as POSCAR:
```
Li2IrOs
1.0
-4.0121 -2.7100 2.0112
0.1633 -5.2394 0.0861
1.9485 4.6331 1.4911
Ir Li Os
1 2 1
Cartesian
0.0937 -2.2905 1.3129
-0.0186 -0.0384 0.0101
-1.9058 -3.9363 1.0385
-1.9940 -1.0258 2.2755
```

Properties
Its energy relative to the lowest polymorph listed for this composition is 64.1 meV per atom. For the final energy, the calculation gives -0.4398 Ry per atom. The symmetry is No. 71. As for the density of states at the Fermi level: 2.1 states/eV/cell.

=====

Entry 4:
VASP calculation (PBE-GGA) on a relaxed LiIrOs2 crystal.

Cell and atoms, written as POSCAR:
```
LiIrOs2
1.0
-3.6173 1.7968 2.4214
-1.9995 0.6005 4.2212
1.9086 4.0712 0.9905
Ir Li Os
1 1 2
Cartesian
-0.9270 1.6171 1.9083
-2.7811 4.8514 5.7249
-3.6540 6.4266 7.5566
-1.9083 3.2762 3.8931
```

Properties
Its energy relative to the lowest polymorph listed for this composition is 0.0 meV per atom. For the final energy, the calculation gives -0.6023 Ry per atom. The symmetry is No. 12. As for the density of states at the Fermi level: 3.2 states/eV/cell.

=====

Entry 5:
VASP calculation (PBE-GGA) on a relaxed Li2IrOs crystal.

Cell and atoms, written as POSCAR:
```
Li2IrOs
1.0
2.6248 0.0102 0.0000
-1.2389 2.3140 0.0000
0.0000 0.0000 9.0671
Ir Li Os
1 2 1
Cartesian
0.6929 1.1621 6.8004
0.0000 0.0000 9.0189
0.0000 0.0000 4.5819
0.6929 1.1621 2.2668
```

Properties
Its energy relative to the lowest polymorph listed for this composition is 76.4 meV per atom. For the final energy, the calculation gives -0.4389 Ry per atom. The symmetry is No. 65. As for the density of states at the Fermi level: 3.5 states/eV/cell.

=====

Entry 6:
VASP calculation (PBE-GGA) on a relaxed LiIr4Os crystal.

Cell and atoms, written as POSCAR:
```
LiIr4Os
1.0
-3.8345 1.1794 3.1736
-4.8241 -1.1007 -1.2973
-2.5244 -3.7123 2.4520
Li Ir Os
1 4 1
Cartesian
-8.3873 -2.7252 3.2462
-6.1092 -0.7763 3.2064
-5.4563 -3.2141 2.8468
-6.6023 -1.9126 0.9784
-4.1983 -1.3641 1.6249
0.0000 0.0000 0.0000
```

Properties
For the final energy, the calculation gives -0.5553 Ry per atom. The symmetry is No. 216. As for the density of states at the Fermi level: 8.8 states/eV/cell.

=====

Entry 7:
VASP calculation (PBE-GGA) on a relaxed Li2IrOs crystal.

Cell and atoms, written as POSCAR:
```
Li2IrOs
1.0
5.0353 0.0016 0.0000
2.4681 4.3889 0.0000
-3.7517 -2.1953 2.5416
Ir Li Os
1 2 1
Cartesian
2.5176 0.0008 1.2708
0.0000 0.0000 0.0000
3.7517 2.1953 0.0000
1.2341 2.1945 1.2708
```

Properties
Its energy relative to the lowest polymorph listed for this composition is 276.6 meV per atom. For the final energy, the calculation gives -0.4242 Ry per atom. The symmetry is No. 139. As for the density of states at the Fermi level: 3.1 states/eV/cell.

=====

Entry 8:
VASP calculation (PBE-GGA) on a relaxed Li2IrOs crystal.

Cell and atoms, written as POSCAR:
```
Li2IrOs
1.0
4.1924 0.0000 0.0000
2.0962 3.6307 0.0000
2.0962 1.2102 3.4231
Ir Li Os
1 2 1
Cartesian
4.1924 2.4205 1.7115
0.0000 0.0000 0.0000
2.0962 1.2102 0.8558
6.2886 3.6307 2.5673
```

Properties
Its energy relative to the lowest polymorph listed for this composition is 70.8 meV per atom. For the final energy, the calculation gives -0.4393 Ry per atom. The symmetry is No. 216. As for the density of states at the Fermi level: 3.2 states/eV/cell.

=====

Entry 9:
VASP calculation (PBE-GGA) on a relaxed Li3IrOs crystal.

Cell and atoms, written as POSCAR:
```
Li3IrOs
1.0
4.4355 0.0000 0.0000
0.0000 4.4355 0.0000
0.0000 0.0000 4.4355
Ir Os Li
1 1 3
Cartesian
0.0000 0.0000 0.0000
2.2177 2.2177 2.2177
0.0000 2.2177 0.0000
0.0000 0.0000 2.2177
2.2177 0.0000 0.0000
```

Properties
Its energy relative to the lowest polymorph listed for this composition is 0.0 meV per atom. For the final energy, the calculation gives -0.2771 Ry per atom. The symmetry is No. 221. As for the density of states at the Fermi level: 3.0 states/eV/cell.

=====

Entry 10:
VASP calculation (PBE-GGA) on a relaxed LiIrOs2 crystal.

Cell and atoms, written as POSCAR:
```
LiIrOs2
1.0
-5.0998 1.4783 5.4496
0.0789 -7.3239 2.0605
-0.7709 -2.4799 5.2628
Ir Os Li
2 4 2
Cartesian
0.0000 0.0000 0.0000
-4.1906 -1.9622 7.2337
-3.6806 -0.5216 5.3109
-0.4705 -5.1026 2.9531
-2.4658 -3.6064 6.6380
-4.9667 -7.4206 10.6439
-2.5104 -2.9228 3.7551
-1.6012 -6.3633 5.5392
```

Properties
Its energy relative to the lowest polymorph listed for this composition is 656.2 meV per atom. For the final energy, the calculation gives -0.5541 Ry per atom. The symmetry is No. 122. As for the density of states at the Fermi level: 8.4 states/eV/cell.

=====

Entry 11:
VASP calculation (PBE-GGA) on a relaxed LiIrOs2 crystal.

Cell and atoms, written as POSCAR:
```
LiIrOs2
1.0
4.2685 0.0000 0.0000
2.1343 3.6966 0.0000
2.1343 1.2322 3.4852
Ir Li Os
1 1 2
Cartesian
4.2685 2.4644 1.7426
6.4028 3.6966 2.6139
0.0000 0.0000 0.0000
2.1343 1.2322 0.8713
```

Properties
Its energy relative to the lowest polymorph listed for this composition is 159.1 meV per atom. For the final energy, the calculation gives -0.5906 Ry per atom. The symmetry is No. 216. As for the density of states at the Fermi level: 4.3 states/eV/cell.

=====

Entry 12:
VASP calculation (PBE-GGA) on a relaxed Li2IrOs crystal.

Cell and atoms, written as POSCAR:
```
Li2IrOs
1.0
-0.0747 -2.3375 3.3575
-3.4950 -0.4983 2.0685
-1.9185 -3.6135 -0.0651
Ir Os Li
1 1 2
Cartesian
-2.7441 -3.2246 2.6804
0.0000 0.0000 0.0000
-1.3721 -1.6123 1.3402
-4.1162 -4.8369 4.0207
```

Properties
Its energy relative to the lowest polymorph listed for this composition is 569.9 meV per atom. For the final energy, the calculation gives -0.4026 Ry per atom. The symmetry is No. 225. As for the density of states at the Fermi level: 4.3 states/eV/cell.